No. 1
Na3V24O58 at its PBEsol-relaxed geometry. Source: Alexandria, functional SCAN.

a b c (Å): 7.200 10.113 14.113
angles (deg): 101.33 97.33 90.00
Element x y z (fractional)
1 Na 0.000 0.000 0.000
2 Na 0.126 0.965 0.508
3 Na 0.500 0.801 0.005
4 V 0.031 0.490 0.126
5 V 0.072 0.739 0.293
6 V 0.089 0.428 0.358
7 V 0.151 0.611 0.608
8 V 0.196 0.861 0.781
9 V 0.208 0.538 0.829
10 V 0.292 0.263 0.175
11 V 0.305 0.941 0.224
12 V 0.349 0.194 0.397
13 V 0.411 0.374 0.647
14 V 0.430 0.059 0.710
15 V 0.468 0.311 0.879
16 V 0.530 0.488 0.125
17 V 0.574 0.745 0.299
18 V 0.589 0.431 0.359
19 V 0.652 0.612 0.609
20 V 0.694 0.860 0.783
21 V 0.705 0.537 0.830
22 V 0.794 0.263 0.175
23 V 0.805 0.941 0.224
24 V 0.848 0.193 0.396
25 V 0.911 0.373 0.646
26 V 0.923 0.059 0.711
27 V 0.970 0.313 0.879
28 O 0.000 0.401 0.002
29 O 0.029 0.647 0.119
30 O 0.051 0.305 0.206
31 O 0.063 0.922 0.256
32 O 0.069 0.557 0.278
33 O 0.097 0.247 0.390
34 O 0.101 0.772 0.408
35 O 0.117 0.523 0.470
36 O 0.147 0.766 0.597
37 O 0.165 0.414 0.667
38 O 0.184 0.034 0.738
39 O 0.187 0.674 0.752
40 O 0.215 0.357 0.860
41 O 0.228 0.891 0.898
42 O 0.248 0.633 0.934
43 O 0.252 0.168 0.070
44 O 0.274 0.911 0.107
45 O 0.285 0.444 0.144
46 O 0.313 0.128 0.252
47 O 0.315 0.765 0.263
48 O 0.335 0.389 0.338
49 O 0.340 0.039 0.408
50 O 0.382 0.280 0.534
51 O 0.403 0.557 0.614
52 O 0.411 0.018 0.595
53 O 0.430 0.241 0.724
54 O 0.438 0.878 0.750
55 O 0.449 0.495 0.799
56 O 0.467 0.154 0.886
57 O 0.500 0.399 0.003
58 O 0.528 0.645 0.117
59 O 0.549 0.304 0.200
60 O 0.563 0.924 0.256
61 O 0.570 0.561 0.282
62 O 0.597 0.245 0.391
63 O 0.602 0.787 0.414
64 O 0.617 0.523 0.471
65 O 0.651 0.766 0.600
66 O 0.667 0.411 0.666
67 O 0.686 0.039 0.748
68 O 0.688 0.673 0.754
69 O 0.714 0.355 0.860
70 O 0.718 0.631 0.936
71 O 0.720 0.888 0.900
72 O 0.778 0.911 0.107
73 O 0.781 0.168 0.070
74 O 0.786 0.444 0.144
75 O 0.812 0.128 0.252
76 O 0.814 0.765 0.263
77 O 0.832 0.389 0.338
78 O 0.862 0.039 0.408
79 O 0.884 0.279 0.534
80 O 0.885 0.017 0.595
81 O 0.903 0.556 0.614
82 O 0.931 0.242 0.724
83 O 0.937 0.880 0.753
84 O 0.950 0.497 0.805
85 O 0.974 0.155 0.886

Summary:
- Energy relative to the elements, uncorrected: -2.532 eV per atom
- Space group: P1



No. 2
SrLa3MgAlO8 at its PBEsol-relaxed geometry. Source: Alexandria, functional SCAN.

a b c (Å): 5.377 6.801 6.801
angles (deg): 46.75 90.00 90.00
Element x y z (fractional)
1 Sr 0.000 0.000 0.000
2 La 0.000 0.280 0.280
3 La 0.500 0.505 0.505
4 La 0.500 0.783 0.783
5 Mg 0.500 0.138 0.138
6 Al 0.000 0.643 0.643
7 O 0.000 0.473 0.473
8 O 0.000 0.805 0.805
9 O 0.244 0.405 0.885
10 O 0.244 0.885 0.405
11 O 0.500 0.318 0.318
12 O 0.500 0.968 0.968
13 O 0.756 0.405 0.885
14 O 0.756 0.885 0.405

Summary:
- Energy relative to the elements, uncorrected: -3.516 eV per atom
- Space group: Amm2



No. 3
KTeP at its PBEsol-relaxed geometry. Source: Alexandria, functional SCAN.

a b c (Å): 6.065 6.065 6.065
angles (deg): 150.25 125.81 63.04
Element x y z (fractional)
1 K 0.000 0.000 0.000
2 Te 0.350 0.350 0.000
3 P 0.588 0.588 0.000

Summary:
- Energy relative to the elements, uncorrected: -0.114 eV per atom
- Space group: Imm2
- Energy relative to the lowest polymorph listed for this composition: 0.000 kcal/mol of atoms



No. 4
BeReRu at its PBEsol-relaxed geometry. Source: Alexandria, functional SCAN.

a b c (Å): 4.932 4.932 4.932
angles (deg): 146.94 146.94 47.46
Element x y z (fractional)
1 Be 0.000 0.000 0.000
2 Re 0.666 0.666 0.000
3 Ru 0.352 0.352 0.000

Summary:
- Energy of formation: -294 meV/atom
- Space group: I4mm
- Energy relative to the lowest polymorph listed for this composition: 0.000 kcal/mol of atoms



No. 5
Zn5Tc at its PBEsol-relaxed geometry. Source: Alexandria, functional SCAN.

a b c (Å): 6.150 6.150 3.775
angles (deg): 90.00 90.00 145.29
Element x y z (fractional)
1 Zn 0.000 0.000 0.000
2 Zn 0.167 0.833 0.500
3 Zn 0.334 0.666 0.000
4 Zn 0.666 0.334 0.000
5 Zn 0.833 0.167 0.500
6 Tc 0.500 0.500 0.500

Summary:
- Energy of formation: -27 meV/atom
- Space group: Cmmm
- Energy relative to the lowest polymorph listed for this composition: 0.000 kcal/mol of atoms



No. 6
BaH4O3 at its PBEsol-relaxed geometry. Source: Alexandria, functional SCAN.

a b c (Å): 3.945 7.286 5.566
angles (deg): 90.00 90.00 90.00
Element x y z (fractional)
1 Ba 0.000 0.187 0.000
2 Ba 0.000 0.813 0.500
3 H 0.204 0.385 0.492
4 H 0.204 0.615 0.992
5 H 0.500 0.081 0.584
6 H 0.500 0.478 0.785
7 H 0.500 0.522 0.285
8 H 0.500 0.919 0.084
9 H 0.796 0.385 0.492
10 H 0.796 0.615 0.992
11 O 0.000 0.298 0.502
12 O 0.000 0.702 0.002
13 O 0.500 0.016 0.739
14 O 0.500 0.466 0.963
15 O 0.500 0.534 0.463
16 O 0.500 0.984 0.239

Summary:
- Space group: Pmc2_1
- Energy relative to the lowest polymorph listed for this composition: 0.206 kcal/mol of atoms



No. 7
CoIr2Pt at its PBEsol-relaxed geometry. Source: Alexandria, functional SCAN.

a b c (Å): 2.691 2.691 7.423
angles (deg): 90.00 90.00 90.00
Element x y z (fractional)
1 Co 0.000 0.000 0.000
2 Ir 0.000 0.000 0.486
3 Ir 0.500 0.500 0.233
4 Pt 0.500 0.500 0.757

Summary:
- Energy of formation: 8 meV/atom
- Space group: P4mm
- Energy relative to the lowest polymorph listed for this composition: 0.589 kcal/mol of atoms



No. 8
K2NaAs2 at its PBEsol-relaxed geometry. Source: Alexandria, functional SCAN.

a b c (Å): 7.748 7.748 5.005
angles (deg): 90.00 90.00 90.00
Element x y z (fractional)
1 K 0.175 0.325 0.000
2 K 0.325 0.825 0.000
3 K 0.675 0.175 0.000
4 K 0.825 0.675 0.000
5 Na 0.000 0.000 0.500
6 Na 0.500 0.500 0.500
7 As 0.110 0.610 0.500
8 As 0.390 0.110 0.500
9 As 0.610 0.890 0.500
10 As 0.890 0.390 0.500

Summary:
- Energy of formation: -447 meV/atom
- Space group: P4/mbm
- Energy relative to the lowest polymorph listed for this composition: 0.000 kcal/mol of atoms



No. 9
ScBi2MoC at its PBEsol-relaxed geometry. Source: Alexandria, functional SCAN.

a b c (Å): 5.046 5.046 4.005
angles (deg): 90.00 90.00 90.00
Element x y z (fractional)
1 Sc 0.000 0.000 0.000
2 Bi 0.000 0.500 0.500
3 Bi 0.500 0.000 0.500
4 Mo 0.500 0.500 0.000
5 C 0.500 0.500 0.500

Summary:
- Energy of formation: 601 meV/atom
- Space group: P4/mmm



No. 10
Ba2MnRe at its PBEsol-relaxed geometry. Source: Alexandria, functional SCAN.

a b c (Å): 3.361 3.361 9.685
angles (deg): 90.00 90.00 90.00
Element x y z (fractional)
1 Ba 0.000 0.000 0.000
2 Ba 0.500 0.500 0.411
3 Mn 0.000 0.000 0.678
4 Re 0.500 0.500 0.730

Summary:
- Energy of formation: 654 meV/atom
- Space group: P4mm
- Energy relative to the lowest polymorph listed for this composition: 0.000 kcal/mol of atoms



No. 11
BaInSb2 at its PBEsol-relaxed geometry. Source: Alexandria, functional SCAN.

a b c (Å): 5.693 5.693 5.884
angles (deg): 106.21 106.21 44.13
Element x y z (fractional)
1 Ba 0.000 0.000 0.000
2 In 0.236 0.236 0.693
3 Sb 0.504 0.504 0.495
4 Sb 0.770 0.770 0.346

Summary:
- Energy relative to the elements, uncorrected: -0.528 eV per atom
- Space group: Cm



No. 12
KZn2Si at its PBEsol-relaxed geometry. Source: Alexandria, functional SCAN.

a b c (Å): 4.541 4.541 3.934
angles (deg): 90.00 90.00 90.00
Element x y z (fractional)
1 K 0.000 0.000 0.000
2 Zn 0.000 0.500 0.500
3 Zn 0.500 0.000 0.500
4 Si 0.500 0.500 0.000

Summary:
- Energy relative to the elements, uncorrected: 0.599 eV per atom
- Space group: P4/mmm



No. 13
SrCr2Re at its PBEsol-relaxed geometry. Source: Alexandria, functional SCAN.

a b c (Å): 4.503 4.503 4.503
angles (deg): 60.00 60.00 60.00
Element x y z (fractional)
1 Sr 0.000 0.000 0.000
2 Cr 0.250 0.250 0.250
3 Cr 0.750 0.750 0.750
4 Re 0.500 0.500 0.500

Summary:
- Energy of formation: 1052 meV/atom
- Space group: Fm-3m



No. 14
MnCrCo2 at its PBEsol-relaxed geometry. Source: Alexandria, functional SCAN.

a b c (Å): 4.249 4.249 4.249
angles (deg): 132.39 132.39 69.62
Element x y z (fractional)
1 Mn 0.000 0.000 0.000
2 Cr 0.500 0.500 0.000
3 Co 0.250 0.750 0.500
4 Co 0.750 0.250 0.500

Summary:
- Energy of formation: 109 meV/atom
- Space group: I4/mmm



No. 15
TeBr at its PBEsol-relaxed geometry. Source: Alexandria, functional SCAN.

a b c (Å): 4.298 4.298 6.549
angles (deg): 90.00 90.00 90.00
Element x y z (fractional)
1 Te 0.250 0.750 0.000
2 Te 0.750 0.250 0.000
3 Br 0.250 0.250 0.359
4 Br 0.750 0.750 0.641

Summary:
- Energy relative to the elements, uncorrected: 0.236 eV per atom
- Space group: P4/nmm



No. 16
Ag3RuAu at its PBEsol-relaxed geometry. Source: Alexandria, functional SCAN.

a b c (Å): 4.930 4.930 4.930
angles (deg): 90.00 90.00 90.00
Element x y z (fractional)
1 Ag 0.000 0.000 0.500
2 Ag 0.000 0.500 0.000
3 Ag 0.500 0.000 0.000
4 Ru 0.500 0.500 0.500
5 Au 0.000 0.000 0.000

Summary:
- Energy of formation: 1390 meV/atom
- Space group: Pm-3m



No. 17
BeFeOF2 at its PBEsol-relaxed geometry. Source: Alexandria, functional SCAN.

a b c (Å): 3.928 3.928 3.669
angles (deg): 90.00 90.00 90.00
Element x y z (fractional)
1 Be 0.000 0.000 0.000
2 Fe 0.500 0.500 0.500
3 O 0.500 0.500 0.000
4 F 0.000 0.500 0.500
5 F 0.500 0.000 0.500

Summary:
- Energy relative to the elements, uncorrected: -1.116 eV per atom
- Space group: P4/mmm



No. 18
SrAl3Tc at its PBEsol-relaxed geometry. Source: Alexandria, functional SCAN.

a b c (Å): 6.684 6.684 4.878
angles (deg): 90.00 90.00 90.00
Element x y z (fractional)
1 Sr 0.250 0.750 0.000
2 Sr 0.750 0.250 0.000
3 Al 0.000 0.000 0.500
4 Al 0.000 0.500 0.500
5 Al 0.250 0.250 0.107
6 Al 0.500 0.000 0.500
7 Al 0.500 0.500 0.500
8 Al 0.750 0.750 0.893
9 Tc 0.250 0.250 0.610
10 Tc 0.750 0.750 0.390

Summary:
- Energy of formation: -369 meV/atom
- Space group: P4/nmm
- Energy relative to the lowest polymorph listed for this composition: 0.000 kcal/mol of atoms



No. 19
Zr2ScBr at its PBEsol-relaxed geometry. Source: Alexandria, functional SCAN.

a b c (Å): 4.076 4.076 5.097
angles (deg): 90.00 90.00 90.00
Element x y z (fractional)
1 Zr 0.000 0.500 0.000
2 Zr 0.500 0.000 0.000
3 Sc 0.000 0.000 0.500
4 Br 0.500 0.500 0.500

Summary:
- Energy relative to the elements, uncorrected: 0.152 eV per atom
- Space group: P4/mmm



No. 20
Zn3SnRh at its PBEsol-relaxed geometry. Source: Alexandria, functional SCAN.

a b c (Å): 4.833 4.833 4.833
angles (deg): 90.00 90.00 90.00
Element x y z (fractional)
1 Zn 0.000 0.000 0.500
2 Zn 0.000 0.500 0.000
3 Zn 0.500 0.000 0.000
4 Sn 0.000 0.000 0.000
5 Rh 0.500 0.500 0.500

Summary:
- Energy of formation: 1199 meV/atom
- Space group: Pm-3m



No. 21
Ca2BeW at its PBEsol-relaxed geometry. Source: Alexandria, functional SCAN.

a b c (Å): 3.267 3.267 8.325
angles (deg): 90.00 90.00 90.00
Element x y z (fractional)
1 Ca 0.000 0.000 0.000
2 Ca 0.500 0.500 0.396
3 Be 0.500 0.500 0.733
4 W 0.000 0.000 0.657

Summary:
- Energy of formation: 604 meV/atom
- Space group: P4mm



No. 22
Na3ZnSb at its PBEsol-relaxed geometry. Source: Alexandria, functional SCAN.

a b c (Å): 5.853 5.853 5.853
angles (deg): 90.00 90.00 90.00
Element x y z (fractional)
1 Na 0.000 0.000 0.500
2 Na 0.000 0.500 0.000
3 Na 0.500 0.000 0.000
4 Zn 0.500 0.500 0.500
5 Sb 0.000 0.000 0.000

Summary:
- Energy relative to the elements, uncorrected: -0.045 eV per atom
- Space group: Pm-3m



No. 23
LiHS at its PBEsol-relaxed geometry. Source: Alexandria, functional SCAN.

a b c (Å): 6.101 3.867 3.867
angles (deg): 91.40 90.00 90.00
Element x y z (fractional)
1 Li 0.000 0.000 0.000
2 Li 0.500 0.000 0.000
3 H 0.250 0.619 0.482
4 H 0.750 0.482 0.619
5 S 0.250 0.971 0.498
6 S 0.750 0.498 0.971

Summary:
- Total energy: -6.0332 eV/atom
- Space group: Ama2